! PBE Hf2AlCrS, relaxed; values from VASP
! Magnetization in μB per formula unit: 0.00
! D(E_F) in states/eV per atom: 0.9862
! Formation energy (no corrections) in eV/atom: 0.3561
! Electronic total energy in eV/atom: -7.124
&SYSTEM
  ibrav = 0, nat = 5, ntyp = 4
/
ATOMIC_SPECIES
Cr 52.00 Cr.upf
S 32.06 S.upf
Hf 178.49 Hf.upf
Al 26.98 Al.upf
ATOMIC_POSITIONS crystal
Cr 0.0000 0.0000 0.0000
S 0.0000 0.5000 0.0000
Hf 0.0000 0.0000 0.5000
Hf 0.5000 0.0000 0.0000
Al 0.5000 0.5000 0.5000
CELL_PARAMETERS angstrom
4.9635 0.0000 0.0000
0.0000 4.1168 0.0000
0.0000 0.0000 4.9635

! PBE BaLa3Pt, relaxed; values from VASP
! ΔH_f (0 K) in meV per atom: -164
! Magnetization in μB per formula unit: 0.00
! D(E_F) in states/eV per atom: 2.1950
! Offset from the most stable computed form in meV/atom: 246.3
! Electronic total energy in eV/atom: -4.713
&SYSTEM
  ibrav = 0, nat = 5, ntyp = 3
/
ATOMIC_SPECIES
Ba 137.33 Ba.upf
Pt 195.08 Pt.upf
La 138.91 La.upf
ATOMIC_POSITIONS crystal
Ba 0.0000 0.6147 0.3853
Pt 0.5000 0.0467 0.9533
La 0.5000 0.1286 0.3605
La 0.5000 0.6395 0.8714
La 0.0000 0.1985 0.8015
CELL_PARAMETERS angstrom
3.9421 0.0000 0.0000
0.0000 3.6625 -6.7193
0.0000 3.6625 6.7193

! PBE SrMgZr, relaxed; values from VASP
! ΔH_f (0 K) in meV per atom: 202
! Magnetization in μB per formula unit: 0.00
! D(E_F) in states/eV per atom: 1.3634
! Offset from the most stable computed form in meV/atom: 54.3
! Electronic total energy in eV/atom: -3.739
&SYSTEM
  ibrav = 0, nat = 6, ntyp = 3
/
ATOMIC_SPECIES
Sr 87.62 Sr.upf
Mg 24.30 Mg.upf
Zr 91.22 Zr.upf
ATOMIC_POSITIONS crystal
Sr 0.0000 0.3711 0.5000
Sr 0.5000 0.6289 0.0000
Mg 0.0000 0.7806 0.5000
Mg 0.5000 0.2194 0.0000
Zr 0.0000 0.9615 0.0000
Zr 0.5000 0.0385 0.5000
CELL_PARAMETERS angstrom
-0.3880 -1.6935 3.0322
2.5986 -8.8348 -4.6018
4.9094 0.8651 1.1114

! PBE AlIr2F, relaxed; values from VASP
! Magnetization in μB per formula unit: 0.00
! D(E_F) in states/eV per atom: 0.4854
! Offset from the most stable computed form in meV/atom: 0.0
! Formation energy (no corrections) in eV/atom: -0.3025
! Electronic total energy in eV/atom: -6.136
&SYSTEM
  ibrav = 0, nat = 8, ntyp = 3
/
ATOMIC_SPECIES
Ir 192.22 Ir.upf
Al 26.98 Al.upf
F 19.00 F.upf
ATOMIC_POSITIONS crystal
Ir 0.6979 0.1250 0.2500
Ir 0.0521 0.6250 0.2500
Ir 0.3750 0.3021 0.7500
Ir 0.8750 0.9479 0.7500
Al 0.0000 0.0000 0.0000
Al 0.7500 0.2500 0.5000
F 0.5000 0.5000 0.0000
F 0.2500 0.7500 0.5000
CELL_PARAMETERS angstrom
-3.2428 -5.3281 -5.3191
-4.8275 -2.9727 5.9208
-5.4518 -2.8079 -0.1802

! PBE HgClF2, relaxed; values from VASP
! Magnetization in μB per formula unit: 1.00
! D(E_F) in states/eV per atom: 0.0392
! Offset from the most stable computed form in meV/atom: 419.6
! Formation energy (no corrections) in eV/atom: -0.6116
! Electronic total energy in eV/atom: -2.084
&SYSTEM
  ibrav = 0, nat = 8, ntyp = 3
/
ATOMIC_SPECIES
F 19.00 F.upf
Hg 200.59 Hg.upf
Cl 35.45 Cl.upf
ATOMIC_POSITIONS crystal
F 0.7050 0.1250 0.2500
F 0.0450 0.6250 0.2500
F 0.3750 0.2950 0.7500
F 0.8750 0.9550 0.7500
Hg 0.0000 0.0000 0.0000
Hg 0.7500 0.2500 0.5000
Cl 0.5000 0.5000 0.0000
Cl 0.2500 0.7500 0.5000
CELL_PARAMETERS angstrom
-2.5009 3.3570 -1.5340
-0.9052 -2.3543 -3.6763
-7.7153 -2.4404 0.7591

! PBE Zr5Cd4Ag2, relaxed; values from VASP
! ΔH_f (0 K) in meV per atom: 133
! Magnetization in μB per formula unit: 0.00
! D(E_F) in states/eV per atom: 0.9772
! Electronic total energy in eV/atom: -4.604
&SYSTEM
  ibrav = 0, nat = 11, ntyp = 3
/
ATOMIC_SPECIES
Zr 91.22 Zr.upf
Cd 112.41 Cd.upf
Ag 107.87 Ag.upf
ATOMIC_POSITIONS crystal
Zr 0.2632 0.1572 0.5265
Zr 0.7368 0.8428 0.4735
Zr 0.1825 0.5627 0.3649
Zr 0.5000 0.0000 0.0000
Zr 0.8175 0.4373 0.6351
Cd 0.6395 0.2753 0.2790
Cd 0.0168 0.3074 0.0335
Cd 0.3605 0.7247 0.7210
Cd 0.9832 0.6926 0.9665
Ag 0.8838 0.0522 0.7675
Ag 0.1162 0.9478 0.2325
CELL_PARAMETERS angstrom
4.4180 0.0000 -0.7185
-0.0506 7.3397 -0.3114
-0.9696 0.9857 7.9800

! PBE YBr2, relaxed; values from VASP
! Magnetization in μB per formula unit: 0.00
! D(E_F) in states/eV per atom: 0.4711
! Formation energy (no corrections) in eV/atom: -1.3632
! Electronic total energy in eV/atom: -4.633
&SYSTEM
  ibrav = 0, nat = 9, ntyp = 2
/
ATOMIC_SPECIES
Y 88.91 Y.upf
Br 79.90 Br.upf
ATOMIC_POSITIONS crystal
Y 0.3333 0.6667 0.0000
Y 0.6667 0.3333 0.0000
Y 0.0000 0.0000 0.5000
Br 0.2613 0.0000 0.0000
Br 0.0000 0.2613 0.0000
Br 0.7387 0.7387 0.0000
Br 0.5973 0.0000 0.5000
Br 0.0000 0.5973 0.5000
Br 0.4027 0.4027 0.5000
CELL_PARAMETERS angstrom
-5.5121 4.4892 -4.8452
-2.8417 -6.5448 4.8065
-0.5830 2.3163 2.8093

! PBE TaTl2In, relaxed; values from VASP
! ΔH_f (0 K) in meV per atom: 440
! Magnetization in μB per formula unit: 0.00
! D(E_F) in states/eV per atom: 0.8243
! Offset from the most stable computed form in meV/atom: 74.3
! Electronic total energy in eV/atom: -4.391
&SYSTEM
  ibrav = 0, nat = 4, ntyp = 3
/
ATOMIC_SPECIES
In 114.82 In.upf
Ta 180.95 Ta.upf
Tl 204.38 Tl.upf
ATOMIC_POSITIONS crystal
In 0.7500 0.2500 0.5000
Ta 0.2500 0.7500 0.5000
Tl 0.0675 0.0675 0.0000
Tl 0.4325 0.4325 0.0000
CELL_PARAMETERS angstrom
-4.8204 6.1414 -0.4476
-6.7670 1.5990 -3.5783
4.9650 -3.6560 4.8100